Entry 1:
This record from Alexandria describes TiTl2Br2F4 after structural relaxation. The functional is PBE.

Output
Its calculated volume is 24.0 Å³/atom. The symmetry is I4/mmm, No. 139. Its size of the total moment is 0.00 μB/cell. The value obtained for the formation energy without anion corrections is -2.196 eV per atom.

abc: 6.7061 6.7061 6.7061
angles: 119.01 119.01 91.72
Closest atoms and distances in Å follow each position.
Fractional coordinates of all 9 atoms:
1 Ti 0.0000 0.0000 0.0000  4 F 1.87
2 Tl 0.2500 0.7500 0.5000  8 F 3.40, 4 Br 3.41
3 Tl 0.7500 0.2500 0.5000  8 F 3.40, 4 Br 3.41
4 Br 0.2782 0.2782 0.0000  1 Ti 2.60
5 Br 0.7218 0.7218 0.0000  1 Ti 2.60
6 F 0.1940 0.1940 0.3879  1 Ti 1.87
7 F 0.1940 0.8060 0.0000  1 Ti 1.87
8 F 0.8060 0.1940 0.0000  1 Ti 1.87
9 F 0.8060 0.8060 0.6121  1 Ti 1.87

---

Entry 2:
This record from Alexandria describes TiTl2Br4F2 after structural relaxation. The functional is PBE.

Output
Its calculated volume is 29.2 Å³/atom. The symmetry is C2/m, No. 12. Its size of the total moment is 0.00 μB/cell. The value obtained for the formation energy without anion corrections is -1.620 eV per atom.

abc: 6.9888 6.9888 5.9452
angles: 92.14 92.14 64.87
Closest atoms and distances in Å follow each position.
Fractional coordinates of all 9 atoms:
1 Ti 0.0000 0.0000 0.0000  2 F 1.83
2 Tl 0.3488 0.3488 0.2319  6 Br 3.35-3.64, 1 F 3.75
3 Tl 0.6512 0.6512 0.7681  6 Br 3.35-3.64, 1 F 3.75
4 Br 0.1335 0.6458 0.7771  1 Ti 2.58
5 Br 0.3542 0.8665 0.2229  1 Ti 2.58
6 Br 0.6458 0.1335 0.7771  1 Ti 2.58
7 Br 0.8665 0.3542 0.2229  1 Ti 2.58
8 F 0.1105 0.1105 0.7940  1 Ti 1.83
9 F 0.8895 0.8895 0.2060  1 Ti 1.83

---

Entry 3:
This record from Alexandria describes Tl4Br2F after structural relaxation. The functional is PBE.

Output
Its calculated volume is 34.6 Å³/atom. The symmetry is I4/mmm, No. 139. Its size of the total moment is 0.00 μB/cell. The value obtained for the formation energy without anion corrections is -0.832 eV per atom.

abc: 9.1676 9.1676 9.1676
angles: 145.81 145.81 49.13
Closest atoms and distances in Å follow each position.
Fractional coordinates of all 7 atoms:
1 Tl 0.0000 0.5000 0.5000  2 F 2.69
2 Tl 0.1665 0.1665 0.0000  1 F 2.78
3 Tl 0.5000 0.0000 0.5000  2 F 2.69
4 Tl 0.8335 0.8335 0.0000  1 F 2.78
5 Br 0.3649 0.3649 0.0000  5 Tl 3.31-3.51
6 Br 0.6351 0.6351 0.0000  5 Tl 3.31-3.51
7 F 0.0000 0.0000 0.0000  6 Tl 2.69-2.78

---

Entry 4:
This record from Alexandria describes TlBrF3 after structural relaxation. The functional is PBE.

Output
Its calculated volume is 19.5 Å³/atom. The symmetry is Pm-3m, No. 221. Its size of the total moment is 0.00 μB/cell. The value obtained for the formation energy without anion corrections is -0.931 eV per atom.

abc: 4.6056 4.6056 4.6056
angles: 90.00 90.00 90.00
Closest atoms and distances in Å follow each position.
Fractional coordinates of all 5 atoms:
1 Tl 0.0000 0.0000 0.0000  12 F 3.26
2 Br 0.5000 0.5000 0.5000  6 F 2.30
3 F 0.0000 0.5000 0.5000  2 Br 2.30
4 F 0.5000 0.0000 0.5000  2 Br 2.30
5 F 0.5000 0.5000 0.0000  2 Br 2.30

---

Entry 5:
This record from Alexandria describes TlBrF after structural relaxation. The functional is PBE.

Output
Its calculated volume is 29.2 Å³/atom. The symmetry is Amm2, No. 38. Its size of the total moment is 0.00 μB/cell. The value obtained for the formation energy without anion corrections is -1.121 eV per atom.

abc: 5.4948 4.2848 4.2848
angles: 60.17 90.00 90.00
Closest atoms and distances in Å follow each position.
Fractional coordinates of all 3 atoms:
1 Tl 0.0000 0.0000 0.0000  3 F 2.47-2.48, 2 Br 2.75
2 Br 0.5000 0.9987 0.9987  2 Tl 2.75
3 F 0.0000 0.3336 0.3336  3 Tl 2.47-2.48

---

Entry 6:
This record from Alexandria describes Tl3BrF2 after structural relaxation. The functional is PBE.

Output
Its calculated volume is 30.1 Å³/atom. The symmetry is P2_1/m, No. 11. Its size of the total moment is 0.00 μB/cell. The value obtained for the formation energy without anion corrections is -1.449 eV per atom.

abc: 7.2816 6.3675 7.9787
angles: 90.00 102.86 90.00
Closest atoms and distances in Å follow each position.
Fractional coordinates of all 12 atoms:
1 Tl 0.0978 0.2500 0.4257  2 F 2.48
2 Tl 0.1703 0.2500 0.9435  4 F 2.63-2.65
3 Tl 0.3969 0.7500 0.2724  2 F 2.58
4 Tl 0.6031 0.2500 0.7276  2 F 2.58
5 Tl 0.8297 0.7500 0.0565  4 F 2.63-2.65
6 Tl 0.9022 0.7500 0.5743  2 F 2.48
7 Br 0.3587 0.7500 0.6609  2 Tl 3.17-3.24
8 Br 0.6413 0.2500 0.3391  2 Tl 3.17-3.24
9 F 0.1113 0.5013 0.1914  4 Tl 2.48-2.65
10 F 0.1113 0.9987 0.1914  4 Tl 2.48-2.65
11 F 0.8887 0.0013 0.8086  4 Tl 2.48-2.65
12 F 0.8887 0.4987 0.8086  4 Tl 2.48-2.65

---

Entry 7:
This record from Alexandria describes Tl4BrF2 after structural relaxation. The functional is PBE.

Output
Its calculated volume is 39.9 Å³/atom. The symmetry is I4/mmm, No. 139. Its size of the total moment is 0.00 μB/cell. The value obtained for the formation energy without anion corrections is -0.935 eV per atom.

abc: 8.7590 8.7590 8.7590
angles: 139.66 139.66 58.37
Closest atoms and distances in Å follow each position.
Fractional coordinates of all 7 atoms:
1 Tl 0.0000 0.5000 0.5000  2 Br 3.02, 4 F 3.34
2 Tl 0.2424 0.2424 0.0000  1 F 2.28
3 Tl 0.5000 0.0000 0.5000  2 Br 3.02, 4 F 3.34
4 Tl 0.7576 0.7576 0.0000  1 F 2.28
5 Br 0.5000 0.5000 0.0000  4 Tl 3.02
6 F 0.0935 0.0935 0.0000  1 Tl 2.28
7 F 0.9065 0.9065 0.0000  1 Tl 2.28

---

Entry 8:
This record from Alexandria describes TlBrF after structural relaxation. The functional is PBE.

Output
Its calculated volume is 35.0 Å³/atom. The symmetry is Cm, No. 8. Its size of the total moment is 0.00 μB/cell. The value obtained for the formation energy without anion corrections is -1.204 eV per atom.

abc: 7.7331 7.7331 7.2852
angles: 107.92 107.92 30.53
Closest atoms and distances in Å follow each position.
Fractional coordinates of all 6 atoms:
1 Tl 0.0000 0.0000 0.0000  3 F 2.50-2.61
2 Tl 0.7066 0.7066 0.7983  2 F 2.16-2.23
3 Br 0.1312 0.1312 0.5298  2 Tl 2.80
4 Br 0.2731 0.2731 0.0775  2 Tl 2.82
5 F 0.5734 0.5734 0.8750  1 Tl 2.23
6 F 0.8409 0.8409 0.7456  1 Tl 2.16

---

Entry 9:
This record from Alexandria describes TlBrF after structural relaxation. The functional is PBE.

Output
Its calculated volume is 27.1 Å³/atom. The symmetry is P-1, No. 2. Its size of the total moment is 0.00 μB/cell. The value obtained for the formation energy without anion corrections is -0.929 eV per atom.

abc: 4.1418 4.1615 4.8615
angles: 75.67 89.16 89.56
Closest atoms and distances in Å follow each position.
Fractional coordinates of all 3 atoms:
1 Tl 0.0000 0.0000 0.0000  4 F 2.92-2.95
2 Br 0.5000 0.5000 0.5000  2 F 2.43
3 F 0.5000 0.5000 0.0000  2 Br 2.43

---

Entry 10:
This record from Alexandria describes Tl4BrF3 after structural relaxation. The functional is PBE.

Output
Its calculated volume is 29.6 Å³/atom. The symmetry is Pmn2_1, No. 31. Its size of the total moment is 0.00 μB/cell. The value obtained for the formation energy without anion corrections is -1.507 eV per atom.

abc: 10.6554 6.8151 6.5112
angles: 90.00 90.00 90.00
Closest atoms and distances in Å follow each position.
Fractional coordinates of all 16 atoms:
1 Tl 0.0000 0.1201 0.0000  1 F 2.48
2 Tl 0.0000 0.7368 0.5531  3 F 2.52-2.81
3 Tl 0.2081 0.2322 0.4810  3 F 2.51-2.58
4 Tl 0.2919 0.7678 0.9810  3 F 2.51-2.58
5 Tl 0.5000 0.2632 0.0531  3 F 2.52-2.81
6 Tl 0.5000 0.8799 0.5000  1 F 2.48
7 Tl 0.7081 0.7678 0.9810  3 F 2.51-2.58
8 Tl 0.7919 0.2322 0.4810  3 F 2.51-2.58
9 Br 0.0000 0.5690 0.0889  4 Tl 3.11-3.46
10 Br 0.5000 0.4310 0.5889  4 Tl 3.11-3.46
11 F 0.0000 0.0658 0.3760  4 Tl 2.48-2.58
12 F 0.2405 0.8913 0.6285  2 Tl 2.51-2.54
13 F 0.2595 0.1087 0.1285  2 Tl 2.51-2.54
14 F 0.5000 0.9342 0.8760  4 Tl 2.48-2.58
15 F 0.7405 0.1087 0.1285  2 Tl 2.51-2.54
16 F 0.7595 0.8913 0.6285  2 Tl 2.51-2.54

---

Entry 11:
This record from Alexandria describes Tl3Br2F after structural relaxation. The functional is PBE.

Output
Its calculated volume is 34.5 Å³/atom. The symmetry is Pnma, No. 62. Its size of the total moment is 0.00 μB/cell. The value obtained for the formation energy without anion corrections is -1.155 eV per atom.

abc: 12.7987 4.5633 14.1684
angles: 90.00 90.00 90.00
Closest atoms and distances in Å follow each position.
Fractional coordinates of all 24 atoms:
1 Tl 0.0662 0.2500 0.1311  1 F 2.56
2 Tl 0.1266 0.7500 0.5726  1 F 2.50
3 Tl 0.2338 0.2500 0.8089  2 F 2.71
4 Tl 0.2662 0.7500 0.3089  2 F 2.71
5 Tl 0.3734 0.2500 0.0726  1 F 2.50
6 Tl 0.4338 0.7500 0.6311  1 F 2.56
7 Tl 0.5662 0.2500 0.3689  1 F 2.56
8 Tl 0.6266 0.7500 0.9274  1 F 2.50
9 Tl 0.7338 0.2500 0.6911  2 F 2.71
10 Tl 0.7662 0.7500 0.1911  2 F 2.71
11 Tl 0.8734 0.2500 0.4274  1 F 2.50
12 Tl 0.9338 0.7500 0.8689  1 F 2.56
13 Br 0.0035 0.7500 0.3004  6 Tl 3.35-3.41
14 Br 0.1930 0.7500 0.0006  6 Tl 3.36-3.58
15 Br 0.3070 0.2500 0.5006  6 Tl 3.36-3.58
16 Br 0.4965 0.2500 0.8004  6 Tl 3.35-3.41
17 Br 0.5035 0.7500 0.1996  6 Tl 3.35-3.41
18 Br 0.6930 0.7500 0.4994  6 Tl 3.36-3.58
19 Br 0.8070 0.2500 0.9994  6 Tl 3.36-3.58
20 Br 0.9965 0.2500 0.6996  6 Tl 3.35-3.41
21 F 0.2472 0.2500 0.2073  4 Tl 2.50-2.71
22 F 0.2528 0.7500 0.7073  4 Tl 2.50-2.71
23 F 0.7472 0.2500 0.2927  4 Tl 2.50-2.71
24 F 0.7528 0.7500 0.7927  4 Tl 2.50-2.71